Entry 1:
A relaxed Nd2InAu2 crystal. Source: Alexandria via LeMat-Bulk, functional GGA-PBE.

a b c (Å): 8.0965 8.0965 3.9350
angles (deg): 90.00 90.00 90.00
Fractional coordinates of all 10 atoms:
Nd (0.1726, 0.3274, 0.0000)
Nd (0.3274, 0.8274, 0.0000)
Nd (0.6726, 0.1726, 0.0000)
Nd (0.8274, 0.6726, 0.0000)
In (0.0000, 0.0000, 0.5000)
In (0.5000, 0.5000, 0.5000)
Au (0.1272, 0.6272, 0.5000)
Au (0.3728, 0.1272, 0.5000)
Au (0.6272, 0.8728, 0.5000)
Au (0.8728, 0.3728, 0.5000)

Volume   25.795 Å³/atom
Energy relative to the elements   -0.767 eV per atom
Crystal system   tetragonal


Entry 2:
A relaxed NdIn6Au12 crystal. Source: Alexandria via LeMat-Bulk, functional GGA-PBE.

a b c (Å): 7.8294 7.8294 7.8294
angles (deg): 105.32 105.32 105.32
Fractional coordinates of all 19 atoms:
Nd (0.0000, 0.0000, 0.0000)
In (0.2942, 0.2942, 0.6977)
In (0.2942, 0.6977, 0.2942)
In (0.3023, 0.7058, 0.7058)
In (0.6977, 0.2942, 0.2942)
In (0.7058, 0.3023, 0.7058)
In (0.7058, 0.7058, 0.3023)
Au (0.1085, 0.3506, 0.3506)
Au (0.1127, 0.5000, 0.8873)
Au (0.1127, 0.8873, 0.5000)
Au (0.3506, 0.1085, 0.3506)
Au (0.3506, 0.3506, 0.1085)
Au (0.5000, 0.1127, 0.8873)
Au (0.5000, 0.8873, 0.1127)
Au (0.6494, 0.6494, 0.8915)
Au (0.6494, 0.8915, 0.6494)
Au (0.8873, 0.1127, 0.5000)
Au (0.8873, 0.5000, 0.1127)
Au (0.8915, 0.6494, 0.6494)

Volume   21.931 Å³/atom
Energy relative to the elements   -0.198 eV per atom
Crystal system   trigonal


Entry 3:
A relaxed Nd4InAu2 crystal. Source: Alexandria via LeMat-Bulk, functional GGA-PBE.

a b c (Å): 10.0164 10.0164 10.0164
angles (deg): 29.63 29.63 29.63
Fractional coordinates of all 7 atoms:
Nd (0.1198, 0.1198, 0.1198)
Nd (0.2928, 0.2928, 0.2928)
Nd (0.7072, 0.7072, 0.7072)
Nd (0.8802, 0.8802, 0.8802)
In (0.5000, 0.5000, 0.5000)
Au (0.3978, 0.3978, 0.3978)
Au (0.6022, 0.6022, 0.6022)

Volume   31.069 Å³/atom
Energy relative to the elements   -0.431 eV per atom
Crystal system   trigonal


Entry 4:
A relaxed Nd8In2Au crystal. Source: Alexandria via LeMat-Bulk, functional GGA-PBE.

a b c (Å): 10.1340 10.1340 6.9734
angles (deg): 104.02 104.02 30.23
Fractional coordinates of all 11 atoms:
Nd (0.0155, 0.0155, 0.2730)
Nd (0.2098, 0.2098, 0.8060)
Nd (0.3469, 0.3469, 0.5188)
Nd (0.4074, 0.4074, 0.0349)
Nd (0.5926, 0.5926, 0.9651)
Nd (0.6531, 0.6531, 0.4812)
Nd (0.7902, 0.7902, 0.1940)
Nd (0.9845, 0.9845, 0.7270)
In (0.1822, 0.1822, 0.2471)
In (0.8178, 0.8178, 0.7529)
Au (0.5000, 0.5000, 0.5000)

Volume   31.730 Å³/atom
Energy relative to the elements   -0.297 eV per atom
Crystal system   monoclinic


Entry 5:
A relaxed Nd4InAu3 crystal. Source: Alexandria via LeMat-Bulk, functional GGA-PBE.

a b c (Å): 3.8977 4.8412 11.6154
angles (deg): 90.00 90.00 90.00
Fractional coordinates of all 8 atoms:
Nd (0.0000, 0.0000, 0.0000)
Nd (0.0000, 0.5000, 0.2685)
Nd (0.5000, 0.0000, 0.4822)
Nd (0.5000, 0.5000, 0.7816)
In (0.0000, 0.0000, 0.7108)
Au (0.0000, 0.5000, 0.5442)
Au (0.5000, 0.0000, 0.2156)
Au (0.5000, 0.5000, 0.0515)

Volume   27.397 Å³/atom
Energy relative to the elements   -0.684 eV per atom
Crystal system   orthorhombic


Entry 6:
A relaxed NdIn4Au2 crystal. Source: Alexandria via LeMat-Bulk, functional GGA-PBE.

a b c (Å): 8.9492 8.9492 4.3854
angles (deg): 90.00 90.00 150.47
Fractional coordinates of all 7 atoms:
Nd (0.0000, 0.0000, 0.0000)
In (0.1744, 0.8256, 0.5000)
In (0.3158, 0.6842, 0.0000)
In (0.6842, 0.3158, 0.0000)
In (0.8256, 0.1744, 0.5000)
Au (0.4227, 0.5773, 0.5000)
Au (0.5773, 0.4227, 0.5000)

Volume   24.731 Å³/atom
Energy relative to the elements   -0.315 eV per atom
Crystal system   orthorhombic


Entry 7:
A relaxed NdIn4Au2 crystal. Source: Alexandria via LeMat-Bulk, functional GGA-PBE.

a b c (Å): 18.7355 4.6730 7.5833
angles (deg): 90.00 90.00 90.00
Fractional coordinates of all 28 atoms:
Nd (0.1430, 0.2500, 0.0281)
Nd (0.3570, 0.7500, 0.5281)
Nd (0.6430, 0.2500, 0.4719)
Nd (0.8570, 0.7500, 0.9719)
In (0.0346, 0.7500, 0.8635)
In (0.0666, 0.2500, 0.4834)
In (0.1850, 0.7500, 0.3263)
In (0.1874, 0.7500, 0.7366)
In (0.3126, 0.2500, 0.2366)
In (0.3150, 0.2500, 0.8263)
In (0.4334, 0.7500, 0.9834)
In (0.4654, 0.2500, 0.3635)
In (0.5346, 0.7500, 0.6365)
In (0.5666, 0.2500, 0.0166)
In (0.6850, 0.7500, 0.1737)
In (0.6874, 0.7500, 0.7634)
In (0.8126, 0.2500, 0.2634)
In (0.8150, 0.2500, 0.6737)
In (0.9334, 0.7500, 0.5166)
In (0.9654, 0.2500, 0.1365)
Au (0.0382, 0.7500, 0.2455)
Au (0.2181, 0.2500, 0.5346)
Au (0.2819, 0.7500, 0.0346)
Au (0.4618, 0.2500, 0.7455)
Au (0.5382, 0.7500, 0.2545)
Au (0.7181, 0.2500, 0.9654)
Au (0.7819, 0.7500, 0.4654)
Au (0.9618, 0.2500, 0.7545)

Volume   23.712 Å³/atom
Energy relative to the elements   -0.421 eV per atom
Crystal system   orthorhombic


Entry 8:
A relaxed NdInAu2 crystal. Source: Alexandria via LeMat-Bulk, functional GGA-PBE.

a b c (Å): 4.9265 4.9265 3.8628
angles (deg): 90.00 90.00 90.00
Fractional coordinates of all 4 atoms:
Nd (0.0000, 0.0000, 0.0000)
In (0.5000, 0.5000, 0.0000)
Au (0.0000, 0.5000, 0.5000)
Au (0.5000, 0.0000, 0.5000)

Volume   23.437 Å³/atom
Energy relative to the elements   -0.547 eV per atom
Crystal system   tetragonal